Density functional theory data (meta-GGA SCAN) for Ti3WC4 at its PBEsol-relaxed geometry.

```
Ti3WC4
1.0
3.0405 0.0000 0.0000
1.5203 2.6332 0.0000
1.5203 0.8777 9.9819
C W Ti
4 1 3
Cartesian
4.5608 2.6332 3.7439 C
3.0405 1.7555 1.2528 C
3.0405 1.7555 8.7290 C
1.5203 0.8777 6.2380 C
0.0000 0.0000 0.0000 W
4.5608 2.6332 7.4644 Ti
3.0405 1.7555 4.9909 Ti
1.5203 0.8777 2.5175 Ti
```

Output
- Fermi-level density of states (states/eV/f.u.) = 1.8
- total energy (eV/atom) = -20.47
- energy relative to the elements (eV/atom) = -0.70
- space-group type = No. 166

Density functional theory data (meta-GGA SCAN) for MnRe4Te at its PBEsol-relaxed geometry.

```
MnRe4Te
1.0
-3.0827 1.1377 -4.0587
-5.0884 -1.1601 0.1802
-3.5368 3.8214 0.3980
Mn Re Te
1 4 1
Cartesian
0.0000 0.0000 0.0000 Mn
-4.3858 1.4231 -1.3038 Re
-6.1599 3.3399 -1.1041 Re
-5.9321 1.9938 -3.3396 Re
-6.9381 0.8412 -1.2134 Re
-8.7810 2.8492 -2.6104 Te
```

Output
- Fermi-level density of states (states/eV/f.u.) = 3.9
- total energy (eV/atom) = -56.03
- E_form (uncorrected) (meV/atom) = 619
- space-group type = No. 216

Density functional theory data (meta-GGA SCAN) for NbFeSn2N at its PBEsol-relaxed geometry.

```
NbFeSn2N
1.0
3.3014 0.0000 0.0000
0.0000 5.1934 0.0000
0.0000 0.0000 5.1934
Nb N Sn Fe
1 1 2 1
Cartesian
1.6507 2.5967 2.5967 Nb
1.6507 0.0000 0.0000 N
0.0000 0.0000 2.5967 Sn
0.0000 2.5967 0.0000 Sn
0.0000 0.0000 0.0000 Fe
```

Output
- Fermi-level density of states (states/eV/f.u.) = 2.9
- total energy (eV/atom) = -25.96
- E_form (uncorrected) (meV/atom) = 519
- space-group type = No. 123

Density functional theory data (meta-GGA SCAN) for LiMnSi2O6 at its PBEsol-relaxed geometry.

```
LiMnSi2O6
1.0
-3.6265 -3.8306 0.0125
-0.6128 -4.2746 -5.7743
1.8436 -6.5737 2.3189
Li Mn Si O
2 2 4 12
Cartesian
0.3292 -6.9625 0.3195 Li
-2.7249 -7.7164 -3.7625 Li
-1.2655 -5.4699 -4.9345 Mn
-1.1302 -9.2090 1.4915 Mn
-0.0038 -4.0607 -0.2900 Si
-2.2634 -5.5582 -1.7544 Si
-0.1323 -9.1207 -1.6885 Si
-2.3919 -10.6182 -3.1529 Si
-1.1312 -2.9964 0.3072 O
-3.3663 -4.5168 -1.0765 O
0.9706 -10.1621 -2.3664 O
-1.2645 -11.6825 -3.7501 O
-2.5373 -7.0477 -1.1431 O
-0.7701 -5.0893 -1.3010 O
-1.6256 -9.5896 -2.1419 O
0.1416 -7.6312 -2.2999 O
0.7152 -4.9708 0.8289 O
-2.3704 -5.6953 -3.3566 O
-0.0253 -8.9836 -0.0863 O
-3.1108 -9.7081 -4.2718 O
```

Output
- Fermi-level density of states (states/eV/f.u.) = 0.0
- total energy (eV/atom) = -10.53
- E_form (uncorrected) (meV/atom) = -2725
- space-group type = No. 15

Density functional theory data (meta-GGA SCAN) for Ca2PdSe2 at its PBEsol-relaxed geometry.

```
Ca2PdSe2
1.0
3.8523 0.0000 0.0000
0.0000 7.5133 0.0000
0.0000 0.0000 7.5133
Ca Se Pd
4 4 2
Cartesian
1.9262 1.1485 4.9052 Ca
1.9262 4.9052 6.3648 Ca
1.9262 6.3648 2.6082 Ca
1.9262 2.6082 1.1485 Ca
0.0000 2.5509 6.3076 Se
0.0000 6.3076 4.9624 Se
0.0000 4.9624 1.2057 Se
0.0000 1.2057 2.5509 Se
0.0000 0.0000 0.0000 Pd
0.0000 3.7567 3.7567 Pd
```

Output
- Fermi-level density of states (states/eV/f.u.) = 1.1
- total energy (eV/atom) = -19.86
- E_form (uncorrected) (meV/atom) = -1411
- space-group type = No. 127

Density functional theory data (meta-GGA SCAN) for NiSbTe2Mo at its PBEsol-relaxed geometry.

```
NiSbTe2Mo
1.0
4.7254 0.0000 0.0000
0.0000 4.9900 0.0000
0.0000 0.0000 4.9900
Sb Mo Te Ni
1 1 2 1
Cartesian
2.3627 0.0000 0.0000 Sb
2.3627 2.4950 2.4950 Mo
0.0000 0.0000 2.4950 Te
0.0000 2.4950 0.0000 Te
0.0000 0.0000 0.0000 Ni
```

Output
- Fermi-level density of states (states/eV/f.u.) = 2.7
- total energy (eV/atom) = -31.78
- E_form (uncorrected) (meV/atom) = 780
- space-group type = No. 123

Density functional theory data (meta-GGA SCAN) for BaTaAs2 at its PBEsol-relaxed geometry.

```
BaTaAs2
1.0
3.7223 0.0000 0.0000
0.0000 3.7223 0.0000
0.0000 0.0000 7.7128
As Ba Ta
2 1 1
Cartesian
0.0000 0.0000 6.7845 As
1.8612 1.8612 1.8246 As
0.0000 0.0000 3.5065 Ba
1.8612 1.8612 7.1664 Ta
```

Output
- Fermi-level density of states (states/eV/f.u.) = 2.2
- distance to the lowest polymorph of the same formula (kJ per mole of atoms) = 40.3
- total energy (eV/atom) = -36.88
- energy relative to the elements (eV/atom) = -0.25
- space-group type = No. 99

Density functional theory data (meta-GGA SCAN) for BaLaPb2 at its PBEsol-relaxed geometry.

```
BaLaPb2
1.0
-3.6109 -2.6576 -1.8363
2.6335 -4.0168 0.6347
-1.6581 2.7346 5.6943
Ba La Pb
1 1 2
Cartesian
-0.4887 -3.3372 -0.6008 Ba
0.2434 -2.3097 2.8641 La
0.0000 0.0000 0.0000 Pb
-2.8789 -1.6301 1.6286 Pb
```

Output
- Fermi-level density of states (states/eV/f.u.) = 2.7
- total energy (eV/atom) = -59.18
- energy relative to the elements (eV/atom) = -0.63
- space-group type = No. 119

Density functional theory data (meta-GGA SCAN) for TiZnRe3 at its PBEsol-relaxed geometry.

```
TiZnRe3
1.0
4.4211 0.0000 0.0000
0.0000 4.4211 0.0000
0.0000 0.0000 4.4211
Re Zn Ti
3 1 1
Cartesian
0.0000 2.2106 0.0000 Re
0.0000 0.0000 2.2106 Re
2.2106 0.0000 0.0000 Re
0.0000 0.0000 0.0000 Zn
2.2106 2.2106 2.2106 Ti
```

Output
- Fermi-level density of states (states/eV/f.u.) = 7.3
- total energy (eV/atom) = -46.80
- energy relative to the elements (eV/atom) = 1.76
- space-group type = No. 221

Density functional theory data (meta-GGA SCAN) for TlAg2Se2 at its PBEsol-relaxed geometry.

```
TlAg2Se2
1.0
4.1290 0.0000 0.0000
0.0000 4.1290 0.0000
-2.0645 -2.0645 6.4220
Tl Se Ag
1 2 2
Cartesian
0.0000 0.0000 0.0000 Tl
0.0000 2.0645 3.2110 Se
2.0645 0.0000 3.2110 Se
0.0000 0.0000 5.0960 Ag
2.0645 2.0645 1.3260 Ag
```

Output
- Fermi-level density of states (states/eV/f.u.) = 1.9
- distance to the lowest polymorph of the same formula (kJ per mole of atoms) = 27.9
- total energy (eV/atom) = -34.91
- E_form (uncorrected) (meV/atom) = 143
- space-group type = No. 139

Density functional theory data (meta-GGA SCAN) for Zr2TeAu at its PBEsol-relaxed geometry.

```
Zr2TeAu
1.0
-2.2422 0.9913 3.9207
3.3064 -3.7784 0.1194
4.0391 0.7718 2.1148
Au Te Zr
1 1 2
Cartesian
0.8984 0.8815 3.0177 Au
0.0000 0.0000 0.0000 Te
2.1024 -1.4484 1.5686 Zr
3.0008 -0.5669 4.5863 Zr
```

Output
- Fermi-level density of states (states/eV/f.u.) = 3.2
- distance to the lowest polymorph of the same formula (kJ per mole of atoms) = 2.0
- total energy (eV/atom) = -42.59
- E_form (uncorrected) (meV/atom) = -641
- space-group type = No. 139

Density functional theory data (meta-GGA SCAN) for Y3GaBi at its PBEsol-relaxed geometry.

```
Y3GaBi
1.0
5.3376 0.0000 0.0000
0.0000 5.3376 0.0000
0.0000 0.0000 5.3376
Y Bi Ga
3 1 1
Cartesian
0.0000 2.6688 0.0000 Y
0.0000 0.0000 2.6688 Y
2.6688 0.0000 0.0000 Y
2.6688 2.6688 2.6688 Bi
0.0000 0.0000 0.0000 Ga
```

Output
- Fermi-level density of states (states/eV/f.u.) = 3.0
- total energy (eV/atom) = -36.13
- energy relative to the elements (eV/atom) = -0.43
- space-group type = No. 221

Density functional theory data (meta-GGA SCAN) for Ce3Cu4Ge4 at its PBEsol-relaxed geometry.

```
Ce3Cu4Ge4
1.0
-4.1469 -1.0008 -0.4963
1.6520 -6.1705 -1.3598
0.8250 1.9821 7.6916
Ge Cu Ce
4 4 3
Cartesian
-2.3131 -1.4104 3.5898 Ge
0.6433 -3.7789 2.2457 Ge
-0.7377 -5.4895 -1.3476 Ge
-1.7571 -1.6818 -0.5085 Ge
-1.6990 -2.9609 1.5854 Cu
-0.5920 0.0918 4.7613 Cu
0.0292 -2.2283 4.2501 Cu
-1.0779 -5.2810 1.0742 Cu
-1.5585 -4.7664 4.0522 Ce
-0.1114 -0.4228 1.7832 Ce
0.8260 -3.0852 -0.6799 Ce
```

Output
- Fermi-level density of states (states/eV/f.u.) = 9.8
- total energy (eV/atom) = -25.24
- energy relative to the elements (eV/atom) = -0.61
- space-group type = No. 71

Density functional theory data (meta-GGA SCAN) for MnPBr at its PBEsol-relaxed geometry.

```
MnPBr
1.0
4.0556 0.0000 0.0000
2.0278 3.5123 0.0000
2.0278 1.1708 3.3114
Br Mn P
1 1 1
Cartesian
4.0556 2.3415 1.6557 Br
6.0834 3.5123 2.4835 Mn
0.0000 0.0000 0.0000 P
```

Output
- Fermi-level density of states (states/eV/f.u.) = 3.8
- total energy (eV/atom) = -15.49
- E_form (uncorrected) (meV/atom) = 548
- space-group type = No. 216

Density functional theory data (meta-GGA SCAN) for Ba2ZrRu at its PBEsol-relaxed geometry.

```
Ba2ZrRu
1.0
3.7065 0.0000 0.0000
0.0000 5.9450 0.0000
-1.8532 -2.9725 5.7459
Ba Ru Zr
2 1 1
Cartesian
1.8532 2.9725 5.6373 Ba
1.8532 0.0000 3.4130 Ba
1.8532 2.9725 0.4279 Ru
0.0000 2.9725 2.0136 Zr
```

Output
- Fermi-level density of states (states/eV/f.u.) = 4.7
- distance to the lowest polymorph of the same formula (kJ per mole of atoms) = 0.0
- total energy (eV/atom) = -35.91
- energy relative to the elements (eV/atom) = 0.24
- space-group type = No. 44

Density functional theory data (meta-GGA SCAN) for CaTiCoGe2 at its PBEsol-relaxed geometry.

```
CaTiCoGe2
1.0
-2.7444 2.9319 -2.6410
1.5404 -2.1657 -4.0049
-3.7460 -3.2306 0.3062
Ge Co Ca Ti
2 1 1 1
Cartesian
0.7702 -1.0828 -2.0025 Ge
-1.3722 1.4659 -1.3205 Ge
-2.4750 -1.2322 -3.1698 Co
-1.8730 -1.6153 0.1531 Ca
0.0000 0.0000 0.0000 Ti
```

Output
- Fermi-level density of states (states/eV/f.u.) = 3.3
- total energy (eV/atom) = -15.36
- energy relative to the elements (eV/atom) = 0.87
- space-group type = No. 123

Density functional theory data (meta-GGA SCAN) for SrLiSi2 at its PBEsol-relaxed geometry.

```
SrLiSi2
1.0
-2.4040 2.3722 -1.8366
-1.3040 -4.4217 0.0194
-1.5090 2.3779 5.0467
Sr Si Li
1 2 1
Cartesian
-1.2020 1.1861 -0.9183 Sr
-3.2970 1.1463 1.7727 Si
-1.9201 -0.8179 1.4569 Si
-0.7545 1.1890 2.5234 Li
```

Output
- Fermi-level density of states (states/eV/f.u.) = 1.8
- distance to the lowest polymorph of the same formula (kJ per mole of atoms) = 0.7
- total energy (eV/atom) = -11.47
- E_form (uncorrected) (meV/atom) = -295
- space-group type = No. 12

Density functional theory data (meta-GGA SCAN) for Co2AgRh at its PBEsol-relaxed geometry.

```
Co2AgRh
1.0
-2.0646 -1.1633 1.1530
-0.7793 -2.3890 -0.7941
4.2798 -4.7913 5.8414
Co Rh Ag
2 1 1
Cartesian
4.1603 -4.7088 5.7106 Co
1.1314 -6.2953 4.7099 Co
0.8307 -4.2496 3.2236 Rh
0.3112 -2.0529 1.4978 Ag
```

Output
- Fermi-level density of states (states/eV/f.u.) = 3.0
- total energy (eV/atom) = -24.73
- energy relative to the elements (eV/atom) = 0.21
- space-group type = No. 160

Density functional theory data (meta-GGA SCAN) for Rb3AlMo at its PBEsol-relaxed geometry.

```
Rb3AlMo
1.0
6.8129 0.0000 0.0000
0.0000 6.8129 0.0000
0.0000 0.0000 6.8129
Mo Al Rb
1 1 3
Cartesian
0.0000 0.0000 0.0000 Mo
3.4064 3.4064 3.4064 Al
0.0000 3.4064 0.0000 Rb
0.0000 0.0000 3.4064 Rb
3.4064 0.0000 0.0000 Rb
```

Output
- Fermi-level density of states (states/eV/f.u.) = 7.0
- total energy (eV/atom) = -19.55
- energy relative to the elements (eV/atom) = 1.42
- space-group type = No. 221

Density functional theory data (meta-GGA SCAN) for LiCuSb2I at its PBEsol-relaxed geometry.

```
LiCuSb2I
1.0
4.3784 0.0000 0.0000
0.0000 5.1548 0.0000
0.0000 0.0000 5.1548
I Sb Cu Li
1 2 1 1
Cartesian
2.1892 2.5774 2.5774 I
0.0000 0.0000 2.5774 Sb
0.0000 2.5774 0.0000 Sb
2.1892 0.0000 0.0000 Cu
0.0000 0.0000 0.0000 Li
```

Output
- Fermi-level density of states (states/eV/f.u.) = 3.3
- total energy (eV/atom) = -25.15
- E_form (uncorrected) (meV/atom) = 616
- space-group type = No. 123

Density functional theory data (meta-GGA SCAN) for AlNiP2 at its PBEsol-relaxed geometry.

```
AlNiP2
1.0
-2.2972 -2.1227 0.9213
2.0422 -2.9604 -1.7289
1.9620 -0.6410 3.4152
Ni Al P
1 1 2
Cartesian
-1.1486 -1.0614 0.4606 Ni
0.8535 -2.8621 1.3038 Al
0.9810 -0.3205 1.7076 P
1.0211 -1.4802 -0.8645 P
```

Output
- Fermi-level density of states (states/eV/f.u.) = 2.0
- total energy (eV/atom) = -10.97
- energy relative to the elements (eV/atom) = 0.21
- space-group type = No. 123

Density functional theory data (meta-GGA SCAN) for Li2Cr2O7 at its PBEsol-relaxed geometry.

```
Li2Cr2O7
1.0
-5.1437 6.5266 0.1173
-4.3743 -3.4571 0.5389
2.1328 -0.7310 12.6239
Li Cr O
8 8 28
Cartesian
-2.6906 -0.1090 11.7600 Li
0.3515 -0.0686 7.5998 Li
-5.0463 0.0916 2.7625 Li
-0.7535 -0.5877 4.1371 Li
-6.6317 2.9262 9.1429 Li
-2.3390 2.2469 10.5176 Li
-7.7367 2.4071 5.6802 Li
-4.6946 2.4475 1.5200 Li
-2.8962 -0.4557 8.4033 Cr
0.4765 0.2144 10.9665 Cr
-2.2478 0.5813 1.2566 Cr
-3.8148 -1.2851 5.6754 Cr
-3.5704 3.6236 7.6046 Cr
-5.1375 1.7572 12.0235 Cr
-7.8617 2.1241 2.3135 Cr
-4.4890 2.7942 4.8768 Cr
-4.0797 -0.2963 7.1023 O
-3.4504 0.2548 9.7442 O
-1.0510 0.7701 10.8970 O
-1.5088 0.2222 7.9569 O
-4.7763 -0.7608 4.5052 O
-2.8725 -2.0139 11.6545 O
-3.8980 0.6244 1.1320 O
-2.6856 -2.0522 8.6350 O
-1.6970 2.0787 1.4169 O
0.8381 -0.6483 9.6493 O
0.5656 -0.8099 12.4023 O
-5.6075 2.6699 10.7928 O
-2.2745 -1.1299 5.2575 O
-3.2681 5.2098 7.2396 O
-4.1171 -2.8713 6.0405 O
-5.1107 3.4684 8.0226 O
-1.7777 -0.3314 2.4873 O
-7.9509 3.1484 0.8778 O
-8.2234 2.9868 3.6307 O
-5.6882 0.2598 11.8631 O
-4.6996 4.3907 4.6450 O
-3.4872 1.7141 12.1480 O
-4.5127 4.3524 1.6255 O
-2.6089 3.0993 8.7748 O
-5.8764 2.1163 5.3231 O
-6.3342 1.5684 2.3830 O
-3.9349 2.0837 3.5358 O
-3.3055 2.6348 6.1777 O
```

Output
- Fermi-level density of states (states/eV/f.u.) = 0.0
- distance to the lowest polymorph of the same formula (kJ per mole of atoms) = 1.0
- total energy (eV/atom) = -9.74
- E_form (uncorrected) (meV/atom) = -1994
- space-group type = No. 14

Density functional theory data (meta-GGA SCAN) for KFeP2 at its PBEsol-relaxed geometry.

```
KFeP2
1.0
-3.7563 -2.4292 -0.9688
0.3612 -4.4219 -1.1248
-1.4512 -3.2261 2.9043
Fe K P
1 1 2
Cartesian
-2.4231 -5.0386 0.4054 Fe
-1.2116 -2.5193 0.2027 K
0.0000 0.0000 0.0000 P
-3.6347 -7.5579 0.6081 P
```

Output
- Fermi-level density of states (states/eV/f.u.) = 2.6
- distance to the lowest polymorph of the same formula (kJ per mole of atoms) = 99.9
- total energy (eV/atom) = -10.88
- energy relative to the elements (eV/atom) = 0.94
- space-group type = No. 216

Density functional theory data (meta-GGA SCAN) for HgRuSe2 at its PBEsol-relaxed geometry.

```
HgRuSe2
1.0
-2.7916 2.9106 2.3589
-3.9422 -1.5976 1.9330
-0.3488 -0.3499 4.6460
Hg Ru Se
1 1 2
Cartesian
-3.5413 0.4816 4.4689 Hg
-1.7707 0.2408 2.2345 Ru
0.0000 0.0000 0.0000 Se
-5.3120 0.7224 6.7034 Se
```

Output
- Fermi-level density of states (states/eV/f.u.) = 4.0
- total energy (eV/atom) = -34.90
- E_form (uncorrected) (meV/atom) = 883
- space-group type = No. 216

Density functional theory data (meta-GGA SCAN) for In2HgCl at its PBEsol-relaxed geometry.

```
In2HgCl
1.0
-2.6057 0.3166 2.3203
-3.4503 -0.4296 -3.8162
2.9646 -5.3251 1.4111
Cl Hg In
1 1 2
Cartesian
-0.0624 -5.2944 0.6524 Cl
-1.7579 -2.9918 -1.5659 Hg
-3.0912 -5.4251 -0.0864 In
-1.3347 -2.5465 1.4934 In
```

Output
- Fermi-level density of states (states/eV/f.u.) = 1.2
- distance to the lowest polymorph of the same formula (kJ per mole of atoms) = 11.4
- total energy (eV/atom) = -36.03
- E_form (uncorrected) (meV/atom) = -305
- space-group type = No. 44

Density functional theory data (meta-GGA SCAN) for BeFeCo2 at its PBEsol-relaxed geometry.

```
BeFeCo2
1.0
-0.6255 2.2876 0.5488
-2.3351 0.5613 0.3975
-0.0993 -0.5753 7.6830
Be Co Fe
1 2 1
Cartesian
0.0000 0.0000 0.0000 Be
-0.7767 0.5886 2.0598 Co
-2.2832 1.6850 6.5696 Co
-1.5300 1.1368 4.3147 Fe
```

Output
- Fermi-level density of states (states/eV/f.u.) = 2.7
- total energy (eV/atom) = -14.29
- energy relative to the elements (eV/atom) = -0.02
- space-group type = No. 166